Here is YGe2Se6 after structural relaxation from Alexandria via LeMat-Bulk. Energies are from PBE.

Structure (CIF):
```
data_YGe2Se6
_chemical_formula_sum 'Y4 Ge8 Se24'
_space_group_name_H-M_alt 'C 1 2/c 1'
_space_group_IT_number 15
_space_group_name_Hall '-C 2yc'
_cell_length_a 12.512
_cell_length_b 12.113
_cell_length_c 6.657
_cell_angle_alpha 90.00
_cell_angle_beta 99.08
_cell_angle_gamma 90.00
loop_
_atom_site_label
_atom_site_type_symbol
_atom_site_fract_x
_atom_site_fract_y
_atom_site_fract_z
Y1 Y 0.000 0.113 0.250
Ge1 Ge 0.193 0.425 0.300
Se1 Se 0.112 0.089 0.663
Se2 Se 0.128 0.274 0.086
Se3 Se 0.129 0.407 0.623
```

Results
Uncorrected energy (eV per atom): -4.6258
Uncorrected formation energy (eV per atom): -0.56

Here is YGeSe4 after structural relaxation from Alexandria via LeMat-Bulk. Energies are from PBE.

Structure (CIF):
```
data_YGeSe4
_chemical_formula_sum 'Y2 Ge2 Se8'
_space_group_name_H-M_alt 'P 4/n b m'
_space_group_IT_number 125
_cell_length_a 7.155
_cell_length_b 7.155
_cell_length_c 5.875
_cell_angle_alpha 90.00
_cell_angle_beta 90.00
_cell_angle_gamma 90.00
loop_
_space_group_symop_operation_xyz
'x,y,z'
'-x,-y,-z'
'-y+1/2,x,z'
'y+1/2,-x,-z'
'-x+1/2,-y+1/2,z'
'x+1/2,y+1/2,-z'
'y,-x+1/2,z'
'-y,x+1/2,-z'
'x,-y+1/2,-z'
'-x,y+1/2,z'
'-y+1/2,-x+1/2,-z'
'y+1/2,x+1/2,z'
'-x+1/2,y,-z'
'x+1/2,-y,z'
'y,x,-z'
'-y,-x,z'
loop_
_atom_site_label
_atom_site_type_symbol
_atom_site_fract_x
_atom_site_fract_y
_atom_site_fract_z
Y1 Y 0.250 0.250 0.000
Ge1 Ge 0.250 0.750 0.500
Se1 Se 0.060 0.560 0.249
```

Results
Uncorrected energy (eV per atom): -4.9580
Uncorrected formation energy (eV per atom): -0.79

Here is Y2GeSe4 after structural relaxation from Alexandria via LeMat-Bulk. Energies are from PBE.

Structure (CIF):
```
data_Y2GeSe4
_chemical_formula_sum 'Y4 Ge2 Se8'
_space_group_name_H-M_alt 'I -4 2 m'
_space_group_IT_number 121
_space_group_name_Hall 'I -4 2'
_cell_length_a 6.339
_cell_length_b 6.339
_cell_length_c 12.348
_cell_angle_alpha 90.00
_cell_angle_beta 90.00
_cell_angle_gamma 90.00
loop_
_atom_site_label
_atom_site_type_symbol
_atom_site_fract_x
_atom_site_fract_y
_atom_site_fract_z
Y1 Y 0.000 0.500 0.250
Ge1 Ge 0.000 0.000 0.000
Se1 Se 0.247 0.247 0.621
```

Results
Uncorrected energy (eV per atom): -5.6136
Uncorrected formation energy (eV per atom): -1.12

Here is Y5GeSe4 after structural relaxation from Alexandria via LeMat-Bulk. Energies are from PBE.

Structure (CIF):
```
data_Y5GeSe4
_chemical_formula_sum 'Y10 Ge2 Se8'
_space_group_name_H-M_alt 'I m m m'
_space_group_IT_number 71
_space_group_name_Hall '-I 2 2'
_cell_length_a 4.118
_cell_length_b 5.793
_cell_length_c 20.566
_cell_angle_alpha 90.00
_cell_angle_beta 90.00
_cell_angle_gamma 90.00
loop_
_atom_site_label
_atom_site_type_symbol
_atom_site_fract_x
_atom_site_fract_y
_atom_site_fract_z
Y1 Y 0.000 0.000 0.000
Y2 Y 0.000 0.000 0.200
Y3 Y 0.000 0.000 0.404
Ge1 Ge 0.000 0.500 0.000
Se1 Se 0.000 0.500 0.200
Se2 Se 0.000 0.500 0.399
```

Results
Offset from the most stable computed form (meV/atom): 11.5
Uncorrected energy (eV per atom): -6.7479
Uncorrected formation energy (eV per atom): -1.66

Here is YGe3Se after structural relaxation from Alexandria via LeMat-Bulk. Energies are from PBE.

Structure (CIF):
```
data_YGe3Se
_chemical_formula_sum 'Y1 Ge3 Se1'
_space_group_name_H-M_alt 'P m -3 m'
_space_group_IT_number 221
_space_group_name_Hall '-P 4 2 3'
_cell_length_a 5.069
_cell_length_b 5.069
_cell_length_c 5.069
_cell_angle_alpha 90.00
_cell_angle_beta 90.00
_cell_angle_gamma 90.00
loop_
_atom_site_label
_atom_site_type_symbol
_atom_site_fract_x
_atom_site_fract_y
_atom_site_fract_z
Y1 Y 0.000 0.000 0.000
Ge1 Ge 0.000 0.500 0.500
Se1 Se 0.500 0.500 0.500
```

Results
Offset from the most stable computed form (meV/atom): 0.0
Uncorrected energy (eV per atom): -4.4334
Uncorrected formation energy (eV per atom): 0.33

Here is YGeSe2 after structural relaxation from Alexandria via LeMat-Bulk. Energies are from PBE.

Structure (CIF):
```
data_YGeSe2
_chemical_formula_sum 'Y3 Ge3 Se6'
_space_group_name_H-M_alt 'R -3 m'
_space_group_IT_number 166
_space_group_name_Hall '-R 3 2"'
_cell_length_a 4.0296
_cell_length_b 4.0296
_cell_length_c 25.9045
_cell_angle_alpha 90.00
_cell_angle_beta 90.00
_cell_angle_gamma 120.00
loop_
_atom_site_label
_atom_site_type_symbol
_atom_site_fract_x
_atom_site_fract_y
_atom_site_fract_z
Y1 Y 0.0000 0.0000 0.0000
Ge1 Ge 0.0000 0.0000 0.5000
Se1 Se 0.0000 0.0000 0.3965
```

Results
Uncorrected energy (eV per atom): -5.3738
Uncorrected formation energy (eV per atom): -0.86

Here is Y2GeSe after structural relaxation from Alexandria via LeMat-Bulk. Energies are from PBE.

Structure (CIF):
```
data_Y2GeSe
_chemical_formula_sum 'Y4 Ge2 Se2'
_space_group_name_H-M_alt 'P n n m'
_space_group_IT_number 58
_space_group_name_Hall '-P 2 2n'
_cell_length_a 7.007
_cell_length_b 7.102
_cell_length_c 4.034
_cell_angle_alpha 90.00
_cell_angle_beta 90.00
_cell_angle_gamma 90.00
loop_
_atom_site_label
_atom_site_type_symbol
_atom_site_fract_x
_atom_site_fract_y
_atom_site_fract_z
Y1 Y 0.244 0.172 0.000
Ge1 Ge 0.000 0.000 0.500
Se1 Se 0.000 0.500 0.000
```

Results
Offset from the most stable computed form (meV/atom): 136.1
Uncorrected energy (eV per atom): -6.5320
Uncorrected formation energy (eV per atom): -1.27

Here is Y2GeSe after structural relaxation from Alexandria via LeMat-Bulk. Energies are from PBE.

Structure (CIF):
```
data_Y2GeSe
_chemical_formula_sum 'Y6 Ge3 Se3'
_space_group_name_H-M_alt 'R -3 m'
_space_group_IT_number 166
_space_group_name_Hall '-R 3 2"'
_cell_length_a 4.1345
_cell_length_b 4.1345
_cell_length_c 20.4202
_cell_angle_alpha 90.00
_cell_angle_beta 90.00
_cell_angle_gamma 120.00
loop_
_atom_site_label
_atom_site_type_symbol
_atom_site_fract_x
_atom_site_fract_y
_atom_site_fract_z
Y1 Y 0.0000 0.0000 0.2457
Ge1 Ge 0.0000 0.0000 0.5000
Se1 Se 0.0000 0.0000 0.0000
```

Results
Offset from the most stable computed form (meV/atom): 0.0
Uncorrected energy (eV per atom): -6.6681
Uncorrected formation energy (eV per atom): -1.41

Here is YGeSe2 after structural relaxation from Alexandria via LeMat-Bulk. Energies are from PBE.

Structure (CIF):
```
data_YGeSe2
_chemical_formula_sum 'Y4 Ge4 Se8'
_space_group_name_H-M_alt 'I -4 2 d'
_space_group_IT_number 122
_space_group_name_Hall 'I -4 2bw'
_cell_length_a 5.690
_cell_length_b 5.690
_cell_length_c 15.321
_cell_angle_alpha 90.00
_cell_angle_beta 90.00
_cell_angle_gamma 90.00
loop_
_atom_site_label
_atom_site_type_symbol
_atom_site_fract_x
_atom_site_fract_y
_atom_site_fract_z
Y1 Y 0.000 0.000 0.000
Ge1 Ge 0.000 0.000 0.500
Se1 Se 0.247 0.250 0.625
```

Results
Uncorrected energy (eV per atom): -5.1784
Uncorrected formation energy (eV per atom): -0.67

Here is Y2GeSe after structural relaxation from Alexandria via LeMat-Bulk. Energies are from PBE.

Structure (CIF):
```
data_Y2GeSe
_chemical_formula_sum 'Y8 Ge4 Se4'
_space_group_name_H-M_alt 'F m -3 m'
_space_group_IT_number 225
_space_group_name_Hall '-F 4 2 3'
_cell_length_a 7.207
_cell_length_b 7.207
_cell_length_c 7.207
_cell_angle_alpha 90.00
_cell_angle_beta 90.00
_cell_angle_gamma 90.00
loop_
_atom_site_label
_atom_site_type_symbol
_atom_site_fract_x
_atom_site_fract_y
_atom_site_fract_z
Y1 Y 0.250 0.250 0.250
Ge1 Ge 0.000 0.000 0.000
Se1 Se 0.000 0.000 0.500
```

Results
Offset from the most stable computed form (meV/atom): 425.5
Uncorrected energy (eV per atom): -6.2426
Uncorrected formation energy (eV per atom): -0.99

Here is Y2GeSe5 after structural relaxation from Alexandria via LeMat-Bulk. Energies are from PBE.

Structure (CIF):
```
data_Y2GeSe5
_chemical_formula_sum 'Y8 Ge4 Se20'
_space_group_name_H-M_alt 'C m c m'
_space_group_IT_number 63
_space_group_name_Hall '-C 2c 2'
_cell_length_a 5.727
_cell_length_b 14.093
_cell_length_c 12.647
_cell_angle_alpha 90.00
_cell_angle_beta 90.00
_cell_angle_gamma 90.00
loop_
_atom_site_label
_atom_site_type_symbol
_atom_site_fract_x
_atom_site_fract_y
_atom_site_fract_z
Y1 Y 0.000 0.169 0.073
Ge1 Ge 0.000 0.193 0.750
Se1 Se 0.000 0.030 0.593
Se2 Se 0.000 0.287 0.250
Se3 Se 0.000 0.309 0.591
```

Results
Uncorrected energy (eV per atom): -5.5089
Uncorrected formation energy (eV per atom): -1.14

Please write out number 9 again, unchanged.
Here is YGeSe2 after structural relaxation from Alexandria via LeMat-Bulk. Energies are from PBE.

Structure (CIF):
```
data_YGeSe2
_chemical_formula_sum 'Y4 Ge4 Se8'
_space_group_name_H-M_alt 'I -4 2 d'
_space_group_IT_number 122
_space_group_name_Hall 'I -4 2bw'
_cell_length_a 5.690
_cell_length_b 5.690
_cell_length_c 15.321
_cell_angle_alpha 90.00
_cell_angle_beta 90.00
_cell_angle_gamma 90.00
loop_
_atom_site_label
_atom_site_type_symbol
_atom_site_fract_x
_atom_site_fract_y
_atom_site_fract_z
Y1 Y 0.000 0.000 0.000
Ge1 Ge 0.000 0.000 0.500
Se1 Se 0.247 0.250 0.625
```

Results
Uncorrected energy (eV per atom): -5.1784
Uncorrected formation energy (eV per atom): -0.67

Q: The highest uncorrected formation energy belongs to which entry?
A: YGe3Se

Q: Look up the uncorrected formation energy of the first one.
A: -0.56 eV per atom